Entry 1:
Compound: Sc2OsRu3
Source: Alexandria via LeMat-Bulk
Functional: PBE
Structure: optimized geometry

Values from the calculation:
Total DFT energy (no corrections)   -107.55 eV for the cell shown

Cell lengths 8.8599, 5.2615, 5.1655 Å; angles 90.00, 124.27, 90.00 degrees
Last column: nearest neighbours and their distance in Å.
Space group C2/m (No. 12)
One atom of each set of equivalent atoms:
Sc1 0.1261 0.0000 0.3744 [4 per cell]  9 Ru 3.00-3.07, 3 Os 3.06-3.08, 4 Sc 3.15-3.20
Os1 0.0000 0.5000 0.0000 [2 per cell]  6 Ru 2.58
Ru1 0.0000 0.5000 0.5000 [2 per cell]  2 Os 2.58, 4 Ru 2.62
Ru2 0.2500 0.2500 0.0000 [4 per cell]  2 Os 2.58, 4 Ru 2.62-2.63


Entry 2:
Compound: ZnFe2Sb
Source: Alexandria via LeMat-Bulk
Functional: PBE
Structure: optimized geometry

Values from the calculation:
E above lowest polymorph   79 meV/atom
ΔE_f (raw)   0.24 eV per atom

Cell lengths 3.9329, 3.9432, 7.6858 Å; angles 90.00, 90.00, 90.00 degrees
Last column: nearest neighbours and their distance in Å.
Space group Immm (No. 71)
One atom of each set of equivalent atoms:
Zn1 0.0000 0.0000 0.0000 [2 per cell]  8 Fe 2.75, 4 Sb 2.78
Fe1 0.0000 0.5000 0.2501 [4 per cell]  4 Zn 2.75, 4 Sb 2.75, 4 Fe 2.78
Sb1 0.0000 0.0000 0.5000 [2 per cell]  8 Fe 2.75, 4 Zn 2.78


Entry 3:
Compound: Al2NiPb
Source: Alexandria via LeMat-Bulk
Functional: PBE
Structure: optimized geometry

Values from the calculation:
Total DFT energy (no corrections)   -16.91 eV for the cell shown

Cell lengths 3.2593, 4.3153, 6.0436 Å; angles 102.03, 92.09, 111.86 degrees
Last column: nearest neighbours and their distance in Å.
Space group P-1 (No. 2)
One atom of each set of equivalent atoms:
Al1 0.2340 0.4486 0.1615 [2 per cell]  3 Ni 2.44-2.62, 2 Al 2.64-2.65
Ni1 0.5000 0.0000 0.0000 [1 per cell]  6 Al 2.44-2.62
Pb1 0.0000 0.0000 0.5000 [1 per cell]  6 Al 3.03-3.14, 2 Pb 3.26, 2 Ni 3.38


Copy entry 2 word for word.
Compound: ZnFe2Sb
Source: Alexandria via LeMat-Bulk
Functional: PBE
Structure: optimized geometry

Values from the calculation:
E above lowest polymorph   79 meV/atom
ΔE_f (raw)   0.24 eV per atom

Cell lengths 3.9329, 3.9432, 7.6858 Å; angles 90.00, 90.00, 90.00 degrees
Last column: nearest neighbours and their distance in Å.
Space group Immm (No. 71)
One atom of each set of equivalent atoms:
Zn1 0.0000 0.0000 0.0000 [2 per cell]  8 Fe 2.75, 4 Sb 2.78
Fe1 0.0000 0.5000 0.2501 [4 per cell]  4 Zn 2.75, 4 Sb 2.75, 4 Fe 2.78
Sb1 0.0000 0.0000 0.5000 [2 per cell]  8 Fe 2.75, 4 Zn 2.78